Entry 1:
A plane-wave DFT calculation with GGA-PBE was carried out for a relaxed structure of Se2N.

Results
As for the space group: No. 5. For the size of the total moment, the calculation gives 0.00 μB/atom. The raw formation energy is 0.80 eV/atom. As for the energy relative to the lowest polymorph listed for this composition: 226 kJ/mol of formula units. The total energy is -4.30 eV/atom. The volume comes out at 70 Å³ per cell.

```
data_Se2N
_chemical_formula_sum 'Se2 N1'
_space_group_name_H-M_alt 'P 1'
_space_group_IT_number 1
_space_group_name_Hall 'P 1'
_cell_length_a 4.0330
_cell_length_b 4.0370
_cell_length_c 4.5376
_cell_angle_alpha 89.44
_cell_angle_beta 89.55
_cell_angle_gamma 71.48
loop_
_atom_site_label
_atom_site_type_symbol
_atom_site_fract_x
_atom_site_fract_y
_atom_site_fract_z
Se1 Se 0.9618 0.2449 0.0413
Se2 Se 0.2226 0.5068 0.6447
N1 N 0.2636 0.2054 0.3432
```

***

Entry 2:
A plane-wave DFT calculation with GGA-PBE was carried out for a relaxed structure of SiSeN3.

Results
As for the space group: No. 221. For the size of the total moment, the calculation gives 0.00 μB/atom. The raw formation energy is 1.95 eV/atom. The total energy is -4.83 eV/atom. The volume comes out at 52 Å³ per cell.

```
data_SiSeN3
_chemical_formula_sum 'Si1 Se1 N3'
_space_group_name_H-M_alt 'P 1'
_space_group_IT_number 1
_space_group_name_Hall 'P 1'
_cell_length_a 3.7322
_cell_length_b 3.7322
_cell_length_c 3.7322
_cell_angle_alpha 90.00
_cell_angle_beta 90.00
_cell_angle_gamma 90.00
loop_
_atom_site_label
_atom_site_type_symbol
_atom_site_fract_x
_atom_site_fract_y
_atom_site_fract_z
Si1 Si 0.5000 0.5000 0.5000
N1 N 0.0000 0.5000 0.0000
N2 N 0.0000 0.0000 0.5000
Se1 Se 0.0000 0.0000 0.0000
N3 N 0.5000 0.0000 0.0000
```

***

What is the size of the total moment in the first record?
0.00 μB/atom